NiSb2O4 | PBE+U | optimized geometry

Calculated values
Density (g/cm³): 5.57
N(E_F) (states/eV/atom): 0.000
Space-group type: P4_2/mbc
Raw total energy (eV/atom): -5.665

Cell lengths 6.063, 8.488, 8.488 Å; angles 90.00, 90.00, 90.00 degrees
Sites, in units of the cell vectors:
O 0.750 0.177 0.323
O 0.500 0.363 0.098
O 0.750 0.323 0.823
O 0.750 0.677 0.177
O 0.000 0.902 0.363
O 0.500 0.137 0.598
O 0.500 0.863 0.402
O 0.500 0.637 0.902
O 0.000 0.098 0.637
O 0.000 0.598 0.863
O 0.250 0.677 0.177
O 0.250 0.823 0.677
O 0.250 0.177 0.323
O 0.000 0.402 0.137
O 0.750 0.823 0.677
O 0.250 0.323 0.823
Sb 0.500 0.165 0.828
Sb 0.000 0.672 0.335
Sb 0.000 0.172 0.165
Sb 0.000 0.828 0.835
Sb 0.000 0.328 0.665
Sb 0.500 0.335 0.328
Sb 0.500 0.665 0.672
Sb 0.500 0.835 0.172
Ni 0.750 0.000 0.500
Ni 0.750 0.500 0.000
Ni 0.250 0.000 0.500
Ni 0.250 0.500 0.000